! ZrTlCl2 | Alexandria via LeMat-Bulk | PBE | optimized geometry; values from VASP
! - symmetry = P4/mmm (123)
! - distance to the lowest polymorph of the same formula (meV per atom) = 153
! - uncorrected formation energy (kJ per mole of atoms) = -89.18
&SYSTEM
  ibrav = 0, nat = 4, ntyp = 3
/
ATOMIC_SPECIES
Zr 91.22 Zr.upf
Tl 204.38 Tl.upf
Cl 35.45 Cl.upf
CELL_PARAMETERS angstrom
3.203 0.000 0.000
0.000 3.203 0.000
0.000 0.000 11.215
ATOMIC_POSITIONS crystal
Zr 0.000 0.000 0.000
Tl 0.000 0.000 0.500
Cl 0.500 0.500 0.139
Cl 0.500 0.500 0.861